No. 1
Density functional theory data (PBE) for a relaxed BaLi3Re crystal.

Cell lengths 4.6932, 4.6932, 4.6932 Å; angles 90.00, 90.00, 90.00 degrees
Last column: nearest neighbours and their distance in Å.
Fractional positions:
Re (0.5000, 0.5000, 0.5000)  12 Li 3.32
Li (0.0000, 0.5000, 0.0000)  2 Ba 2.35
Li (0.5000, 0.0000, 0.0000)  2 Ba 2.35
Li (0.0000, 0.0000, 0.5000)  2 Ba 2.35
Ba (0.0000, 0.0000, 0.0000)  6 Li 2.35

## Properties
VASP energy ... -2.099 eV per atom
Energy of formation ... 1.92 eV per atom
N(E_F) ... 0.30 states/eV per cell
ΔE to the lowest computed polymorph ... 4.913 eV/f.u.

---

No. 2
Density functional theory data (PBE) for a relaxed Sc6AlSi2 crystal.

Cell lengths 7.8661, 7.8661, 7.8661 Å; angles 104.39, 112.88, 111.27 degrees
Last column: nearest neighbours and their distance in Å.
Fractional positions:
Sc (0.1981, 0.7514, 0.9495)  2 Si 2.73-2.91, 2 Al 2.95-2.97
Sc (0.4593, 0.2759, 0.1834)  3 Si 2.81-2.84, 1 Al 2.92
Sc (0.7057, 0.3834, 0.6778)  3 Si 2.66-2.83
Sc (0.5407, 0.7241, 0.8166)  3 Si 2.81-2.84, 1 Al 2.92
Sc (0.8019, 0.2486, 0.0505)  2 Si 2.73-2.91, 2 Al 2.95-2.97
Sc (0.7057, 0.0279, 0.3222)  3 Si 2.66-2.83
Sc (0.2943, 0.9721, 0.6778)  3 Si 2.66-2.83
Sc (0.8019, 0.7514, 0.5533)  2 Si 2.73-2.91, 2 Al 2.95-2.97
Sc (0.1981, 0.2486, 0.4467)  2 Si 2.73-2.91, 2 Al 2.95-2.97
Sc (0.0925, 0.2759, 0.8166)  3 Si 2.81-2.84, 1 Al 2.92
Sc (0.9075, 0.7241, 0.1834)  3 Si 2.81-2.84, 1 Al 2.92
Sc (0.2943, 0.6166, 0.3222)  3 Si 2.66-2.83
Al (0.0000, 0.5000, 0.5000)  8 Sc 2.97-3.13
Al (0.0000, 0.0000, 0.0000)  8 Sc 2.92-2.95, 2 Si 3.03
Si (0.5000, 0.3778, 0.8778)  1 Si 2.36
Si (0.5000, 0.6222, 0.1222)  1 Si 2.36
Si (0.3484, 0.0000, 0.3484)  1 Si 2.64, 8 Sc 2.73-2.84
Si (0.6516, 0.0000, 0.6516)  1 Si 2.64, 8 Sc 2.73-2.84

## Properties
Formation energy without anion corrections ... -0.554 eV/atom
VASP energy ... -6.396 eV per atom
N(E_F) ... 16.07 states/eV per cell

---

Q: Which of these has the highest N(E_F)?
A: Sc6AlSi2